DFT (GGA-PBE) results for a relaxed TcAs2O crystal.

space-group type = No. 129
raw total energy = -5.877 eV per atom

Cell lengths 3.992, 3.992, 8.270 Å; angles 90.00, 90.00, 90.00 degrees
Fractional coordinates of all 8 atoms:
As: 0.250 0.750 0.500
As: 0.750 0.750 0.246
Tc: 0.750 0.750 0.925
O: 0.250 0.750 0.000
As: 0.250 0.250 0.754
As: 0.750 0.250 0.500
Tc: 0.250 0.250 0.075
O: 0.750 0.250 0.000



DFT (GGA-PBE) results for a relaxed NaThPb crystal.

space-group type = No. 216
distance to the lowest polymorph of the same formula = 0.000 eV/atom

Cell lengths 5.227, 5.227, 5.227 Å; angles 60.00, 60.00, 60.00 degrees
Fractional coordinates of all 3 atoms:
Pb: 0.000 0.000 0.000
Th: 0.750 0.750 0.750
Na: 0.250 0.250 0.250



DFT (GGA-PBE) results for a relaxed KTaCuTeSe2 crystal.

space-group type = No. 63
raw total energy = -5.076 eV per atom

Cell lengths 8.141, 8.141, 10.297 Å; angles 90.00, 90.00, 153.22 degrees
Site moments in Bohr magnetons follow the coordinates.
Fractional coordinates of all 12 atoms:
Cu: 0.471 0.529 0.750  0.01
Se: 0.611 0.389 0.056  -0.01
Ta: 0.000 0.000 0.500  0.28
Se: 0.389 0.611 0.556  -0.01
Cu: 0.529 0.471 0.250  0.01
Te: 0.083 0.917 0.750  0.00
K: 0.227 0.773 0.250  0.00
Se: 0.611 0.389 0.444  -0.01
Se: 0.389 0.611 0.944  -0.01
Ta: 0.000 0.000 0.000  0.28
Te: 0.917 0.083 0.250  0.00
K: 0.773 0.227 0.750  0.00



DFT (GGA-PBE) results for a relaxed PrZnAs crystal.

space-group type = No. 216
raw total energy = -3.988 eV per atom

Cell lengths 4.702, 4.702, 4.702 Å; angles 60.00, 60.00, 60.00 degrees
Fractional coordinates of all 3 atoms:
Zn: 0.000 0.000 0.000
As: 0.250 0.250 0.250
Pr: 0.750 0.750 0.750



DFT (GGA-PBE) results for a relaxed LiYCoGe crystal.

space-group type = No. 216
distance to the lowest polymorph of the same formula = 0.135 eV/atom

Cell lengths 4.522, 4.522, 4.522 Å; angles 60.00, 60.00, 60.00 degrees
Fractional coordinates of all 4 atoms:
Co: 0.750 0.750 0.750
Li: 0.500 0.500 0.500
Y: 0.250 0.250 0.250
Ge: 0.000 0.000 0.000



DFT (GGA-PBE) results for a relaxed HoSb crystal.

space-group type = No. 225
raw total energy = -5.464 eV per atom

Cell lengths 4.361, 4.361, 4.361 Å; angles 120.00, 90.00, 120.00 degrees
Fractional coordinates of all 2 atoms:
Ho: 0.000 0.000 0.000
Sb: 0.500 0.000 0.500



DFT (GGA-PBE) results for a relaxed SnAs2Ir crystal.

space-group type = No. 216
raw total energy = -5.160 eV per atom

Cell lengths 4.721, 4.721, 4.721 Å; angles 60.00, 60.00, 60.00 degrees
Fractional coordinates of all 4 atoms:
Ir: 0.500 0.500 0.500
Sn: 0.750 0.750 0.750
As: 0.250 0.250 0.250
As: 0.000 0.000 0.000



DFT (GGA-PBE) results for a relaxed Na4Ge2PdAu crystal.

space-group type = No. 115
raw total energy = -3.020 eV per atom

Cell lengths 4.772, 4.772, 6.759 Å; angles 90.00, 90.00, 90.00 degrees
Fractional coordinates of all 8 atoms:
Ge: 0.500 0.000 0.265
Na: 0.500 0.500 0.000
Ge: 0.000 0.500 0.735
Na: 0.000 0.500 0.252
Pd: 0.500 0.500 0.500
Na: 0.500 0.000 0.748
Au: 0.000 0.000 0.000
Na: 0.000 0.000 0.500